A plane-wave DFT calculation with PBE was carried out for SrAcNiPd after structural relaxation.

volume	410.5	Å³ per cell
Fermi-level density of states	1.86	states/eV/f.u.
ΔH_f (0 K)	-1.3	eV/f.u.
M_tot	0.00	μB per formula unit

Unit cell a=7.4317 b=7.4317 c=7.4317 alpha=90.00 beta=90.00 gamma=90.00
Last column: nearest neighbours and their distance in Å.
Space group F-43m (No. 216)
Inequivalent atoms, fractional coordinates:
Sr  0.0000  0.0000  0.0000 x4  4 Ni 3.22, 4 Pd 3.22
Ac  0.0000  0.0000  0.5000 x4  4 Pd 3.22, 4 Ni 3.22
Ni  0.2500  0.2500  0.2500 x4  4 Ac 3.22, 4 Sr 3.22
Pd  0.2500  0.2500  0.7500 x4  4 Sr 3.22, 4 Ac 3.22